Entry 1:
Below is a relaxed structure of MoRh3S, with properties calculated at the PBE-GGA level.

Cell lengths 4.680, 4.680, 4.680 Å; angles 90.00, 90.00, 90.00 degrees
Space group Pm-3m (No. 221)
Unique sites:
Mo (0.000, 0.000, 0.000) (multiplicity 1)
Rh (0.000, 0.000, 0.500) (multiplicity 3)
S (0.500, 0.500, 0.500) (multiplicity 1)

E above lowest polymorph (meV per atom): 855
Uncorrected formation energy (eV per formula unit): 6.94
Crystal system: cubic
E (eV/cell): -30.08

---

Entry 2:
Below is a relaxed structure of PmThN, with properties calculated at the PBE-GGA level.

Cell lengths 6.282, 6.282, 6.282 Å; angles 90.00, 90.00, 90.00 degrees
Space group F-43m (No. 216)
Unique sites:
Pm (0.000, 0.000, 0.000) (multiplicity 4)
Th (0.000, 0.000, 0.500) (multiplicity 4)
N (0.250, 0.250, 0.750) (multiplicity 4)

E above lowest polymorph (meV per atom): 690
Uncorrected formation energy (eV per formula unit): -0.50
Crystal system: cubic
E (eV/cell): -84.00

---

Entry 3:
Below is a relaxed structure of CeMgH8Pd2, with properties calculated at the PBE-GGA level.

Cell lengths 4.8494, 4.8494, 16.9637 Å; angles 90.00, 90.00, 120.00 degrees
Space group R-3 (No. 148, hexagonal axes)
Unique sites:
Ce (0.0000, 0.0000, 0.0000) (multiplicity 3)
Mg (0.0000, 0.0000, 0.5000) (multiplicity 3)
H (0.0000, 0.0000, 0.3226) (multiplicity 6)
H (0.0093, 0.3034, 0.1038) (multiplicity 18)
Pd (0.0000, 0.0000, 0.2256) (multiplicity 6)

Crystal system: trigonal
E (eV/cell): -139.20

---

Entry 4:
Below is a relaxed structure of BiAuS2, with properties calculated at the PBE-GGA level.

Cell lengths 4.1270, 4.1270, 6.7049 Å; angles 90.00, 90.00, 120.00 degrees
Space group P3m1 (No. 156)
Unique sites:
Bi (0.0000, 0.0000, 0.0000) (multiplicity 1)
Au (0.3333, 0.6667, 0.4234) (multiplicity 1)
S (0.3333, 0.6667, 0.7845) (multiplicity 1)
S (0.6667, 0.3333, 0.2583) (multiplicity 1)

Uncorrected formation energy (eV per formula unit): -0.41
Crystal system: trigonal
E (eV/cell): -15.83

---

Entry 5:
Below is a relaxed structure of TlCr2Re, with properties calculated at the PBE-GGA level.

Cell lengths 4.175, 4.175, 7.132 Å; angles 90.00, 90.00, 90.00 degrees
Space group I4/mmm (No. 139)
Unique sites:
Tl (0.000, 0.000, 0.000) (multiplicity 2)
Cr (0.000, 0.500, 0.250) (multiplicity 4)
Re (0.000, 0.000, 0.500) (multiplicity 2)

Energy of formation from the pure elements (eV per atom): 0.701
E above lowest polymorph (meV per atom): 230
Crystal system: tetragonal
E (eV/cell): -62.51

---

Entry 6:
Below is a relaxed structure of In4Hg, with properties calculated at the PBE-GGA level.

Cell lengths 6.857, 6.857, 5.875 Å; angles 90.00, 90.00, 90.00 degrees
Space group P4/nbm (No. 125, origin choice 2)
Unique sites:
In (0.087, 0.587, 0.225) (multiplicity 8)
Hg (0.250, 0.250, 0.500) (multiplicity 2)

Energy of formation from the pure elements (eV per atom): 0.037
E above lowest polymorph (meV per atom): 24
Crystal system: tetragonal
E (eV/cell): -22.14